## Cu2SiTc (GGA-PBE)

Data for an optimized crystal structure of Cu2SiTc.

a b c (Å): 3.171 4.258 7.826
angles (deg): 90.00 90.00 90.00
Space group Cmm2 (No. 35)
Symmetry-distinct sites (fractional):
Cu 0.000 0.000 0.000 (multiplicity 2)
Cu 0.000 0.500 0.249 (multiplicity 2)
Si 0.000 0.000 0.489 (multiplicity 2)
Tc 0.000 0.500 0.729 (multiplicity 2)

- energy relative to the elements, uncorrected (kJ/mol of atoms) = 14.6
- E (eV for the cell shown) = -46.8
- DOS(E_F) (states/eV/cell) = 5.498
- crystal system = orthorhombic


## RbHf2Fe (GGA-PBE)

Data for an optimized crystal structure of RbHf2Fe.

a b c (Å): 6.893 6.893 6.893
angles (deg): 90.00 90.00 90.00
Space group Fm-3m (No. 225)
Symmetry-distinct sites (fractional):
Rb 0.000 0.000 0.000 (multiplicity 4)
Hf 0.250 0.250 0.250 (multiplicity 8)
Fe 0.000 0.000 0.500 (multiplicity 4)

- E (eV for the cell shown) = -97.1
- DOS(E_F) (states/eV/cell) = 21.142
- energy of formation from the pure elements (eV/atom) = 1.268
- crystal system = cubic
- distance to the lowest polymorph of the same formula (meV per atom) = 116


## TeAs (GGA-PBE)

Data for an optimized crystal structure of TeAs.

a b c (Å): 11.583 3.596 9.657
angles (deg): 90.00 98.98 90.00
Space group Cm (No. 8)
Symmetry-distinct sites (fractional):
Te 0.000 0.000 0.000 (multiplicity 2)
Te 0.087 0.500 0.389 (multiplicity 2)
Te 0.275 0.500 0.252 (multiplicity 2)
As 0.178 0.500 0.662 (multiplicity 2)
As 0.328 0.000 0.662 (multiplicity 2)
As 0.335 0.000 0.926 (multiplicity 2)

- energy relative to the elements, uncorrected (kJ/mol of atoms) = 8.0
- E (eV for the cell shown) = -45.8
- DOS(E_F) (states/eV/cell) = 1.559
- crystal system = monoclinic